12
Lattice="2.466 -7.352 0.000 2.466 7.352 0.000 0.000 0.000 7.171" Properties=species:S:1:pos:R:3 comment="PBE Tm3Ag2Os, optimized geometry" e_tot_ev_per_atom=-5.412 delta_e_f_ev_per_atom=-0.354 pbc="T T T"
Tm 0.000 0.000 1.673
Tm 0.000 0.000 5.498
Tm 2.466 2.539 1.638
Tm 2.466 2.539 5.533
Tm 2.466 -2.539 1.638
Tm 2.466 -2.539 5.533
Ag 2.466 4.923 3.586
Ag 2.466 0.000 0.000
Ag 2.466 0.000 3.586
Ag 2.466 -4.923 3.586
Os 2.466 4.935 0.000
Os 2.466 -4.935 0.000

=====

4
Lattice="0.000 3.404 3.404 3.404 0.000 3.404 3.404 3.404 0.000" Properties=species:S:1:pos:R:3 comment="PBE TmZrAgOs, optimized geometry" e_tot_ev_per_atom=-7.043 delta_e_f_ev_per_atom=-0.268 pbc="T T T"
Tm 0.000 0.000 0.000
Zr 3.404 3.404 3.404
Ag 1.702 1.702 1.702
Os 5.107 5.107 5.107

=====

5
Lattice="4.593 0.000 0.000 0.000 4.593 0.000 0.000 0.000 4.593" Properties=species:S:1:pos:R:3 comment="PBE V3AgOs, optimized geometry" e_tot_ev_per_atom=-7.215 delta_e_f_ev_per_atom=1.073 pbc="T T T"
V 0.000 0.000 2.297
V 0.000 2.297 0.000
V 2.297 0.000 0.000
Ag 2.297 2.297 2.297
Os 0.000 0.000 0.000

=====

5
Lattice="4.504 0.000 0.000 0.000 4.504 0.000 0.000 0.000 4.504" Properties=species:S:1:pos:R:3 comment="PBE VAgOs3, optimized geometry" e_tot_ev_per_atom=-7.403 delta_e_f_ev_per_atom=1.729 pbc="T T T"
V 0.000 0.000 0.000
Ag 2.252 2.252 2.252
Os 0.000 0.000 2.252
Os 0.000 2.252 0.000
Os 2.252 0.000 0.000

=====

10
Lattice="7.445 0.000 0.000 0.000 7.445 0.000 0.000 0.000 2.798" Properties=species:S:1:pos:R:3 comment="PBE V2Ag2Os, optimized geometry" e_tot_ev_per_atom=-6.221 delta_e_f_ev_per_atom=0.813 pbc="T T T"
V 1.310 2.412 0.000
V 2.412 6.135 0.000
V 5.032 1.310 0.000
V 6.135 5.032 0.000
Ag 0.931 4.653 1.399
Ag 2.791 0.931 1.399
Ag 4.653 6.514 1.399
Ag 6.514 2.791 1.399
Os 0.000 0.000 1.399
Os 3.722 3.722 1.399

=====

8
Lattice="-1.935 1.935 9.009 1.935 -1.935 9.009 1.935 1.935 -9.009" Properties=species:S:1:pos:R:3 comment="PBE VAgOs2, optimized geometry" e_tot_ev_per_atom=-7.657 delta_e_f_ev_per_atom=0.951 pbc="T T T"
V 0.000 0.000 0.000
V 0.000 1.935 4.505
Ag 1.935 0.000 4.505
Ag 0.000 0.000 9.009
Os 2.902 0.749 -2.252
Os 0.749 0.967 2.252
Os -0.967 1.185 6.757
Os 1.185 0.967 11.262

=====

8
Lattice="-1.829 1.829 10.083 1.829 -1.829 10.083 1.829 1.829 -10.083" Properties=species:S:1:pos:R:3 comment="PBE VAg2Os, optimized geometry" e_tot_ev_per_atom=-5.753 delta_e_f_ev_per_atom=0.760 pbc="T T T"
V 0.000 0.000 0.000
V 0.000 1.829 5.041
Ag 0.915 -0.908 7.562
Ag 0.921 0.915 2.521
Ag 0.915 2.737 -2.521
Ag 0.908 0.915 12.604
Os 1.829 0.000 5.041
Os 0.000 0.000 10.083

=====

5
Lattice="-1.605 1.605 7.990 1.605 -1.605 7.990 1.605 1.605 -7.990" Properties=species:S:1:pos:R:3 comment="PBE V2Ag2Os, optimized geometry" e_tot_ev_per_atom=-5.969 delta_e_f_ev_per_atom=1.065 pbc="T T T"
V 1.605 0.000 3.995
V 0.000 1.605 3.995
Ag 0.000 0.000 1.680
Ag 0.000 0.000 14.299
Os 0.000 0.000 7.990

=====

5
Lattice="4.729 0.000 0.000 0.000 4.729 0.000 0.000 0.000 4.729" Properties=species:S:1:pos:R:3 comment="PBE VAgOs3, optimized geometry" e_tot_ev_per_atom=-6.083 delta_e_f_ev_per_atom=3.048 pbc="T T T"
V 0.000 0.000 0.000
Ag 2.364 2.364 2.364
Os 0.000 2.364 2.364
Os 2.364 0.000 2.364
Os 2.364 2.364 0.000

=====

4
Lattice="0.000 3.092 3.092 3.092 0.000 3.092 3.092 3.092 0.000" Properties=species:S:1:pos:R:3 comment="PBE VAgOs2, optimized geometry" e_tot_ev_per_atom=-8.097 delta_e_f_ev_per_atom=0.510 pbc="T T T"
V 0.000 0.000 0.000
Ag 3.092 3.092 3.092
Os 1.546 1.546 1.546
Os 4.637 4.637 4.637

=====

4
Lattice="0.000 3.184 3.184 3.184 0.000 3.184 3.184 3.184 0.000" Properties=species:S:1:pos:R:3 comment="PBE VAg2Os, optimized geometry" e_tot_ev_per_atom=-5.700 delta_e_f_ev_per_atom=0.812 pbc="T T T"
V 0.000 0.000 0.000
Ag 1.592 1.592 1.592
Ag 4.776 4.776 4.776
Os 3.184 3.184 3.184

=====

5
Lattice="4.733 0.000 0.000 0.000 4.733 0.000 0.000 0.000 5.029" Properties=species:S:1:pos:R:3 comment="PBE YV2AgOs, optimized geometry" e_tot_ev_per_atom=-6.299 delta_e_f_ev_per_atom=1.458 pbc="T T T"
Y 0.000 0.000 0.000
V 0.000 2.367 2.515
V 2.367 0.000 2.515
Ag 2.367 2.367 2.515
Os 2.367 2.367 0.000